[1]
SrCo3N: optimized geometry, PBE-GGA.

Structure (POSCAR):
```
SrCo3N
1.0
4.040 0.000 0.000
0.000 4.040 0.000
0.000 0.000 4.040
Sr Co N
1 3 1
Cartesian
0.000 0.000 0.000
0.000 2.020 2.020
2.020 0.000 2.020
2.020 2.020 0.000
2.020 2.020 2.020
```

Values from the calculation:
space-group type = Pm-3m, No. 221
spin magnetization = 0.76 μB per atom
density of states at the Fermi level = 3.90 states/eV/f.u.
ΔE to the lowest computed polymorph = 0 meV/atom
uncorrected formation energy = 0.31 eV/atom

=====

[2]
Sr5Co2N6: optimized geometry, PBE-GGA.

Structure (POSCAR):
```
Sr5Co2N6
1.0
5.121 -3.307 0.000
5.121 3.307 0.000
-2.724 0.000 12.939
Sr Co N
10 4 12
Cartesian
3.078 2.502 9.704
4.455 1.739 0.040
2.730 0.617 3.629
4.425 1.739 6.430
1.368 -0.617 10.098
6.150 0.617 2.841
3.093 -1.739 6.510
4.788 -0.617 9.311
3.063 -1.739 12.899
4.440 -2.502 3.235
1.233 0.804 7.317
2.595 -0.804 0.848
4.923 0.804 12.092
6.284 -0.804 5.622
-0.223 0.280 8.309
1.049 0.433 5.608
1.139 -0.280 1.839
-0.313 -0.433 12.077
2.782 0.318 8.106
4.144 -0.318 1.636
3.374 0.318 11.303
4.736 -0.318 4.833
7.831 0.433 0.862
6.379 0.280 11.100
6.469 -0.433 7.332
7.741 -0.280 4.631
```

Values from the calculation:
space-group type = C2/c, No. 15
spin magnetization = 0.00 μB per atom
density of states at the Fermi level = 6.76 states/eV/f.u.
uncorrected formation energy = -0.41 eV/atom

=====

[3]
SrCo2N2: optimized geometry, PBE-GGA.

Structure (POSCAR):
```
SrCo2N2
1.0
0.000 4.432 4.471
3.012 0.000 4.471
3.012 4.432 0.000
Sr Co N
2 4 4
Cartesian
0.753 1.108 1.118
5.271 7.756 7.824
2.259 2.153 3.353
3.765 4.369 5.588
2.259 4.495 3.353
3.765 6.711 5.588
2.259 3.324 1.731
3.765 5.540 3.966
2.259 3.324 4.975
3.765 5.540 7.210
```

Values from the calculation:
space-group type = Fddd, No. 70
spin magnetization = 0.15 μB per atom
density of states at the Fermi level = 4.90 states/eV/f.u.
uncorrected formation energy = -0.11 eV/atom

=====

[4]
SrCoN2: optimized geometry, PBE-GGA.

Structure (POSCAR):
```
SrCoN2
1.0
5.980 0.000 0.000
0.000 8.029 0.000
-2.312 0.000 4.815
Sr Co N
4 4 8
Cartesian
0.274 0.773 1.611
-0.882 3.242 4.019
4.550 4.788 0.796
3.394 7.256 3.203
1.294 5.084 2.492
2.450 6.960 0.085
1.218 1.070 4.730
2.374 2.945 2.323
-0.478 0.528 4.134
0.678 3.486 1.727
0.276 5.545 3.867
1.432 6.499 1.460
2.237 1.531 3.355
3.392 2.484 0.948
2.990 4.543 3.088
4.146 7.501 0.681
```

Values from the calculation:
space-group type = P2_1/c, No. 14
spin magnetization = 0.00 μB per atom
density of states at the Fermi level = 1.27 states/eV/f.u.
ΔE to the lowest computed polymorph = 0 meV/atom
uncorrected formation energy = -0.31 eV/atom

=====

[5]
Sr3CoN3: optimized geometry, PBE-GGA.

Structure (POSCAR):
```
Sr3CoN3
1.0
7.614 0.000 0.000
-3.807 6.594 0.000
0.000 0.000 5.303
Sr Co N
6 2 6
Cartesian
-0.744 2.386 1.326
-1.369 6.045 1.326
1.694 1.837 3.977
2.113 4.757 1.326
5.176 0.549 3.977
4.550 4.208 3.977
0.000 4.396 3.977
3.807 2.198 1.326
-0.742 2.797 3.977
-1.014 5.837 3.977
2.052 2.041 1.326
1.755 4.553 3.977
4.821 0.756 1.326
4.548 3.797 1.326
```

Values from the calculation:
space-group type = P6_3/m, No. 176
spin magnetization = 0.21 μB per atom
density of states at the Fermi level = 4.25 states/eV/f.u.
uncorrected formation energy = -0.52 eV/atom

=====

[6]
SrCoN2: optimized geometry, PBE-GGA.

Structure (POSCAR):
```
SrCoN2
1.0
1.633 0.943 6.030
-1.633 0.943 6.030
0.000 -1.885 6.030
Sr Co N
1 1 2
Cartesian
0.000 0.000 0.000
0.000 0.000 9.046
0.000 0.000 2.357
0.000 0.000 15.735
```

Values from the calculation:
space-group type = R-3m, No. 166
spin magnetization = 0.00 μB per atom
density of states at the Fermi level = 4.23 states/eV/f.u.
ΔE to the lowest computed polymorph = 1117 meV/atom
uncorrected formation energy = 0.81 eV/atom

=====

The records above give, respectively, VASP energy values of -29.765, -155.770, -66.232, -106.634, -81.582, -22.189 eV for the cell shown.